1.
Here is a relaxed AcAlInPd2 crystal from Alexandria via LeMat-Bulk. Energies are from PBE.

Space group ... Cmme (67)

Lattice parameters (Å, degrees): 7.1619 7.1619 6.1251 90.00 90.00 132.39
Positions (direct):
Ac 0.2500 0.7500 0.7686
Ac 0.7500 0.2500 0.2314
Al 0.2500 0.2500 0.5000
Al 0.7500 0.7500 0.5000
In 0.0000 0.0000 0.0000
In 0.5000 0.5000 0.0000
Pd 0.1410 0.8590 0.3208
Pd 0.3590 0.6410 0.3208
Pd 0.6410 0.3590 0.6792
Pd 0.8590 0.1410 0.6792



2.
Here is a relaxed RbFeCo crystal from Alexandria via LeMat-Bulk. Energies are from PBE.

Space group ... P-6m2 (187)
E above lowest polymorph ... 1.012 eV/atom

Lattice parameters (Å, degrees): 4.6720 4.6720 7.8242 90.00 90.00 120.00
Positions (direct):
Rb 0.0000 0.0000 0.0000
Rb 0.0000 0.0000 0.5000
Fe 0.6667 0.3333 0.1315
Fe 0.6667 0.3333 0.8685
Co 0.3333 0.6667 0.1415
Co 0.3333 0.6667 0.8585



Number 1: ΔH_f (0 K) -0.585 eV/atom, magnetization 0.00 μB per formula unit. Number 2: ΔH_f (0 K) 1.527 eV/atom, magnetization 1.48 μB per formula unit.